## Li2ReIr (GGA-PBE)

Data for crystalline Li2ReIr at its relaxed geometry. Values from VASP.

Computed properties:
* DFT total energy: -25.0 eV per cell
* symmetry: No. 71
* energy of formation: 3.49 kJ per mole of atoms
* crystal system: orthorhombic

```
&SYSTEM
  ibrav = 0, nat = 4, ntyp = 3
/
ATOMIC_SPECIES
Li 6.94 Li.upf
Re 186.21 Re.upf
Ir 192.22 Ir.upf
CELL_PARAMETERS angstrom
-1.371 2.228 4.649
1.371 -2.228 4.649
1.371 2.228 -4.649
ATOMIC_POSITIONS crystal
Li 0.241 0.241 0.000
Li 0.759 0.759 0.000
Re 0.500 0.000 0.500
Ir 0.000 0.500 0.500
```